The following is a DFT calculation (PBE) of a geometry-optimized GaSe2O2 structure.

Geometry as CIF:
```
data_GaSe2O2
_chemical_formula_sum 'Ga2 Se4 O4'
_cell_length_a 7.774
_cell_length_b 7.774
_cell_length_c 3.348
_cell_angle_alpha 90.00
_cell_angle_beta 90.00
_cell_angle_gamma 90.00
_symmetry_space_group_name_H-M 'P 4/m b m'
_symmetry_Int_Tables_number 127
_symmetry_space_group_name_Hall '-P 4 2ab'
loop_
_atom_site_label
_atom_site_type_symbol
_atom_site_fract_x
_atom_site_fract_y
_atom_site_fract_z
Ga1 Ga 0.000 0.000 0.000
Se1 Se 0.236 0.264 0.500
O1 O 0.175 0.675 0.000
```

Summary:
Uncorrected formation energy in kJ/mol of formula units: -7
Crystal system: tetragonal
N(E_F) in states/eV per cell: 2.6
Volume in Å³/cell: 202.37
Total magnetic moment in μB per atom: 0.00